This record from Alexandria via LeMat-Bulk describes a relaxed structure of CsSc2H. The functional is GGA-PBE.

The structure belongs to space group R-3m (No. 166, hexagonal axes); the cell edges are 3.4576, 3.4576 and 28.2916 Å and the angles 90.00°, 90.00° and 120.00°. The distinct sites, in fractional coordinates, are Cs at (0.0000, 0.0000, 0.0000), Sc at (0.0000, 0.0000, 0.1256) and H at (0.0000, 0.0000, 0.5000).

The energy above the lowest structure with this stoichiometry is 0.00 kcal/mol of atoms. For the size of the total moment, the calculation gives 0.00 μB per cell. As for the volume: 24.4 Å³ per atom. The value obtained for the density of states at the Fermi level is 1.182 states/eV/atom. The final energy comes out at -4.0162 eV/atom.

---

This record from Alexandria via LeMat-Bulk describes a relaxed structure of LiMnC. The functional is GGA-PBE.

The structure belongs to space group Pbcm (No. 57); the cell edges are 4.719, 5.123 and 5.120 Å and the angles 90.00°, 90.00° and 90.00°. The distinct sites, in fractional coordinates, are Li at (0.079, 0.102, 0.250), Mn at (0.470, 0.750, 0.000) and C at (0.362, 0.017, 0.750).

For the formation energy from the elements, the calculation gives -0.70 kcal/mol of atoms. For the size of the total moment, the calculation gives 3.97 μB per cell. As for the volume: 10.3 Å³ per atom. The value obtained for the density of states at the Fermi level is 0.488 states/eV/atom. The final energy comes out at -6.7994 eV/atom.

---

This record from Alexandria via LeMat-Bulk describes a relaxed structure of CaCdAs4. The functional is GGA-PBE.

The structure belongs to space group F-43m (No. 216); the cell edges are 8.114, 8.114 and 8.114 Å and the angles 90.00°, 90.00° and 90.00°. The distinct sites, in fractional coordinates, are Ca at (0.000, 0.000, 0.000), Cd at (0.250, 0.250, 0.750) and As at (0.122, 0.122, 0.378).

For the formation energy from the elements, the calculation gives -2.43 kcal/mol of atoms. For the size of the total moment, the calculation gives 0.00 μB per cell. As for the volume: 22.3 Å³ per atom. The value obtained for the density of states at the Fermi level is 0.759 states/eV/atom. The final energy comes out at -3.6912 eV/atom.

---

This record from Alexandria via LeMat-Bulk describes a relaxed structure of K4MgHg4. The functional is GGA-PBE.

The structure belongs to space group I-42m (No. 121); the cell edges are 7.241, 7.241 and 14.539 Å and the angles 90.00°, 90.00° and 90.00°. The distinct sites, in fractional coordinates, are K at (0.220, 0.220, 0.151), Mg at (0.000, 0.000, 0.500) and Hg at (0.243, 0.243, 0.400).

For the formation energy from the elements, the calculation gives -2.70 kcal/mol of atoms. For the size of the total moment, the calculation gives 0.00 μB per cell. As for the volume: 42.4 Å³ per atom. The value obtained for the density of states at the Fermi level is 0.754 states/eV/atom. The final energy comes out at -0.9160 eV/atom.